Compound: FeReO3
Source: the Alexandria database
Functional: PBE with a Hubbard U
Structure: relaxed

## Properties
SG = Pm-3m
Electronic total energy = -7.439 eV/atom

The structure in extended XYZ format:
```
5
Lattice="3.857 0.000 0.000 0.000 3.857 0.000 0.000 0.000 3.857" Properties=species:S:1:pos:R:3 pbc="T T T"
Fe 0.000 0.000 0.000
Re 1.928 1.928 1.928
O 0.000 1.928 1.928
O 1.928 0.000 1.928
O 1.928 1.928 0.000
```